No. 1
Computed, not measured: a geometry-optimized MnCO2 structure at the GGA+U level of DFT.

Theoretical density ... 3.48 Mg/m³
Space group ... I-42d (122)
Density of states at the Fermi level ... 0.146 states/eV/atom
Final energy ... -50.5 eV per cell

The structure in POSCAR format:
```
MnCO2
1.0
-2.197 2.197 4.890
2.197 -2.197 4.890
2.197 2.197 -4.890
Mn C O
2 2 4
Direct
0.000 0.000 0.000 Mn
0.750 0.250 0.500 Mn
0.250 0.750 0.500 C
0.500 0.500 0.000 C
0.173 0.625 0.048 O
0.375 0.423 0.548 O
0.577 0.125 0.952 O
0.875 0.827 0.452 O
```

***

No. 2
Computed, not measured: a geometry-optimized MnCO2 structure at the GGA+U level of DFT.

Theoretical density ... 4.41 Mg/m³
Space group ... R-3m (166)
Density of states at the Fermi level ... 0.292 states/eV/atom
Final energy ... -23.1 eV per cell

The structure in POSCAR format:
```
MnCO2
1.0
1.361 0.786 5.806
-1.361 0.786 5.806
0.000 -1.572 5.806
Mn C O
1 1 2
Direct
0.000 0.000 0.000 Mn
0.500 0.500 0.500 C
0.111 0.111 0.111 O
0.889 0.889 0.889 O
```

***

No. 3
Computed, not measured: a geometry-optimized MnCO4 structure at the GGA+U level of DFT.

Theoretical density ... 3.38 Mg/m³
Space group ... P2_1/c (14)
Density of states at the Fermi level ... 0.274 states/eV/atom
Final energy ... -169.6 eV per cell

The structure in POSCAR format:
```
MnCO4
1.0
5.270 0.000 0.000
0.000 7.095 0.000
-3.407 0.000 6.890
Mn C O
4 4 16
Direct
0.192 0.197 0.093 Mn
0.192 0.303 0.593 Mn
0.808 0.697 0.407 Mn
0.808 0.803 0.907 Mn
0.197 0.602 0.287 C
0.197 0.898 0.787 C
0.803 0.102 0.213 C
0.803 0.398 0.713 C
0.079 0.176 0.320 O
0.079 0.324 0.820 O
0.191 0.560 0.468 O
0.191 0.940 0.968 O
0.257 0.036 0.692 O
0.257 0.464 0.192 O
0.398 0.739 0.328 O
0.398 0.761 0.828 O
0.602 0.239 0.172 O
0.602 0.261 0.672 O
0.743 0.536 0.808 O
0.743 0.964 0.308 O
0.809 0.060 0.032 O
0.809 0.440 0.532 O
0.921 0.676 0.180 O
0.921 0.824 0.680 O
```

***

No. 4
Computed, not measured: a geometry-optimized MnCO3 structure at the GGA+U level of DFT.

Theoretical density ... 3.45 Mg/m³
Space group ... Pnma (62)
Density of states at the Fermi level ... 0.000 states/eV/atom
Final energy ... -157.6 eV per cell

The structure in POSCAR format:
```
MnCO3
1.0
6.231 0.000 0.000
0.000 7.945 0.000
0.000 0.000 4.470
Mn C O
4 4 12
Direct
0.000 0.000 0.000 Mn
0.000 0.500 0.000 Mn
0.500 0.000 0.500 Mn
0.500 0.500 0.500 Mn
0.135 0.250 0.491 C
0.365 0.750 0.991 C
0.635 0.250 0.009 C
0.865 0.750 0.509 C
0.048 0.250 0.228 O
0.182 0.108 0.620 O
0.182 0.392 0.620 O
0.318 0.608 0.120 O
0.318 0.892 0.120 O
0.452 0.750 0.728 O
0.548 0.250 0.272 O
0.682 0.108 0.880 O
0.682 0.392 0.880 O
0.818 0.608 0.380 O
0.818 0.892 0.380 O
0.952 0.750 0.772 O
```

***

No. 5
Computed, not measured: a geometry-optimized MnCO3 structure at the GGA+U level of DFT.

Theoretical density ... 1.80 Mg/m³
Space group ... C2/c (15)
Density of states at the Fermi level ... 0.394 states/eV/atom
Final energy ... -68.8 eV per cell

The structure in POSCAR format:
```
MnCO3
1.0
4.425 -4.424 0.000
4.425 4.424 0.000
-1.334 0.000 5.426
Mn C O
2 2 6
Direct
0.000 0.000 0.000 Mn
0.000 0.000 0.500 Mn
0.316 0.684 0.750 C
0.684 0.316 0.250 C
0.114 0.172 0.804 O
0.172 0.114 0.304 O
0.445 0.555 0.750 O
0.555 0.445 0.250 O
0.828 0.886 0.696 O
0.886 0.828 0.196 O
```

***

No. 6
Computed, not measured: a geometry-optimized MnCO3 structure at the GGA+U level of DFT.

Theoretical density ... 3.46 Mg/m³
Space group ... P2_1/c (14)
Density of states at the Fermi level ... 0.117 states/eV/atom
Final energy ... -152.7 eV per cell

The structure in POSCAR format:
```
MnCO3
1.0
5.965 0.000 0.000
0.000 5.360 0.000
-0.740 0.000 6.899
Mn C O
4 4 12
Direct
0.087 0.227 0.408 Mn
0.087 0.273 0.908 Mn
0.913 0.727 0.092 Mn
0.913 0.773 0.592 Mn
0.433 0.600 0.548 C
0.433 0.900 0.048 C
0.567 0.100 0.952 C
0.567 0.400 0.452 C
0.070 0.088 0.663 O
0.070 0.412 0.163 O
0.221 0.551 0.545 O
0.221 0.949 0.045 O
0.467 0.212 0.382 O
0.467 0.288 0.882 O
0.533 0.712 0.118 O
0.533 0.788 0.618 O
0.779 0.051 0.955 O
0.779 0.449 0.455 O
0.930 0.588 0.837 O
0.930 0.912 0.337 O
```

***

No. 7
Computed, not measured: a geometry-optimized MnCO3 structure at the GGA+U level of DFT.

Theoretical density ... 3.42 Mg/m³
Space group ... P-1 (2)
Density of states at the Fermi level ... 0.000 states/eV/atom
Final energy ... -78.8 eV per cell

The structure in POSCAR format:
```
MnCO3
1.0
3.858 0.000 0.000
0.003 4.866 0.000
1.734 0.007 5.948
Mn C O
2 2 6
Direct
0.000 0.186 0.250 Mn
0.000 0.814 0.750 Mn
0.500 0.313 0.750 C
0.500 0.687 0.250 C
0.237 0.178 0.884 O
0.237 0.822 0.384 O
0.499 0.420 0.250 O
0.501 0.580 0.750 O
0.763 0.178 0.616 O
0.763 0.822 0.116 O
```

***

No. 8
Computed, not measured: a geometry-optimized MnPCO4 structure at the GGA+U level of DFT.

Theoretical density ... 2.21 Mg/m³
Space group ... Pna2_1 (33)
Final energy ... -204.3 eV per cell

The structure in POSCAR format:
```
MnPCO4
1.0
9.497 0.000 0.000
0.000 5.817 0.000
0.000 0.000 8.828
Mn P C O
4 4 4 16
Direct
0.237 0.104 0.000 Mn
0.263 0.604 0.500 Mn
0.737 0.396 0.000 Mn
0.763 0.896 0.500 Mn
0.041 0.948 0.715 P
0.459 0.448 0.215 P
0.541 0.552 0.715 P
0.959 0.052 0.215 P
0.003 0.715 0.860 C
0.497 0.215 0.360 C
0.503 0.785 0.860 C
0.997 0.285 0.360 C
0.101 0.966 0.156 O
0.111 0.353 0.401 O
0.121 0.127 0.807 O
0.128 0.822 0.597 O
0.372 0.322 0.097 O
0.379 0.627 0.307 O
0.389 0.853 0.901 O
0.399 0.466 0.656 O
0.601 0.534 0.156 O
0.611 0.147 0.401 O
0.621 0.373 0.807 O
0.628 0.678 0.597 O
0.872 0.178 0.097 O
0.879 0.873 0.307 O
0.889 0.647 0.901 O
0.899 0.034 0.656 O
```

***

No. 9
Computed, not measured: a geometry-optimized Mn3PbC4O12 structure at the GGA+U level of DFT.

Theoretical density ... 4.26 Mg/m³
Space group ... R32 (155)
Density of states at the Fermi level ... 0.000 states/eV/atom
Final energy ... -153.2 eV per cell

The structure in POSCAR format:
```
Mn3PbC4O12
1.0
4.976 2.873 2.785
-4.976 2.873 2.785
0.000 -5.745 2.785
Mn Pb C O
3 1 4 12
Direct
0.000 0.539 0.461 Mn
0.461 0.000 0.539 Mn
0.539 0.461 0.000 Mn
0.000 0.000 0.000 Pb
0.041 0.500 0.959 C
0.500 0.500 0.500 C
0.500 0.959 0.041 C
0.959 0.041 0.500 C
0.021 0.611 0.812 O
0.090 0.910 0.500 O
0.188 0.389 0.979 O
0.369 0.631 0.500 O
0.389 0.979 0.188 O
0.500 0.090 0.910 O
0.500 0.369 0.631 O
0.611 0.812 0.021 O
0.631 0.500 0.369 O
0.812 0.021 0.611 O
0.910 0.500 0.090 O
0.979 0.188 0.389 O
```

***

No. 10
Computed, not measured: a geometry-optimized Mn2PtC12O12 structure at the GGA+U level of DFT.

Theoretical density ... 2.16 Mg/m³
Space group ... P-1 (2)
Density of states at the Fermi level ... 0.000 states/eV/atom
Final energy ... -204.1 eV per cell

The structure in POSCAR format:
```
Mn2PtC12O12
1.0
6.755 0.000 0.000
0.530 7.641 0.000
1.166 3.484 9.539
Mn Pt C O
2 1 12 12
Direct
0.206 0.115 0.231 Mn
0.794 0.885 0.769 Mn
0.000 0.000 0.500 Pt
0.025 0.749 0.829 C
0.099 0.911 0.209 C
0.101 0.752 0.532 C
0.292 0.306 0.282 C
0.343 0.190 0.059 C
0.417 0.966 0.316 C
0.583 0.034 0.684 C
0.657 0.810 0.941 C
0.708 0.694 0.718 C
0.899 0.248 0.468 C
0.901 0.089 0.791 C
0.975 0.251 0.171 C
0.032 0.787 0.190 O
0.164 0.601 0.552 O
0.168 0.665 0.870 O
0.349 0.426 0.311 O
0.432 0.236 0.949 O
0.447 0.124 0.635 O
0.553 0.876 0.365 O
0.568 0.764 0.051 O
0.651 0.574 0.689 O
0.832 0.335 0.130 O
0.836 0.399 0.448 O
0.968 0.213 0.810 O
```

***

No. 11
Computed, not measured: a geometry-optimized RbMnC2O6 structure at the GGA+U level of DFT.

Theoretical density ... 3.06 Mg/m³
Space group ... R-3 (148)
Density of states at the Fermi level ... 0.436 states/eV/atom
Final energy ... -72.0 eV per cell

The structure in POSCAR format:
```
RbMnC2O6
1.0
2.496 1.441 6.550
-2.496 1.441 6.550
0.000 -2.883 6.550
Rb Mn C O
1 1 2 6
Direct
0.000 0.000 0.000 Rb
0.500 0.500 0.500 Mn
0.226 0.226 0.226 C
0.774 0.774 0.774 C
0.050 0.729 0.538 O
0.271 0.462 0.950 O
0.462 0.950 0.271 O
0.538 0.050 0.729 O
0.729 0.538 0.050 O
0.950 0.271 0.462 O
```

***

No. 12
Computed, not measured: a geometry-optimized Sr5Mn4CO13 structure at the GGA+U level of DFT.

Theoretical density ... 4.75 Mg/m³
Space group ... Pm (6)
Final energy ... -162.7 eV per cell

The structure in POSCAR format:
```
Sr5Mn4CO13
1.0
8.952 0.000 0.000
0.000 3.819 0.000
-0.053 0.000 8.973
Sr Mn C O
5 4 1 13
Direct
0.000 0.000 0.000 Sr
0.171 0.000 0.607 Sr
0.351 0.000 0.221 Sr
0.560 0.000 0.784 Sr
0.774 0.000 0.428 Sr
0.070 0.500 0.308 Mn
0.273 0.500 0.909 Mn
0.469 0.500 0.511 Mn
0.870 0.500 0.708 Mn
0.675 0.500 0.109 C
0.037 0.000 0.287 O
0.062 0.500 0.806 O
0.179 0.500 0.111 O
0.279 0.500 0.410 O
0.308 0.000 0.933 O
0.368 0.500 0.718 O
0.489 0.000 0.479 O
0.598 0.500 0.986 O
0.607 0.500 0.238 O
0.672 0.500 0.606 O
0.821 0.500 0.106 O
0.845 0.000 0.751 O
0.965 0.500 0.495 O
```

***

Which of these has the highest theoretical density?
Sr5Mn4CO13